## Tb3Pr2DyS6 (PBE)

Data for a relaxed Tb3Pr2DyS6 crystal.

## Properties
Total moment   0.00 Bohr magnetons per cell
ΔE_f (raw)   -2.008 eV/atom
SG   C2/m, No. 12

Lattice parameters (Å, degrees): 3.9636 8.0248 8.9049 103.26 102.86 90.00
Sites, in units of the cell vectors:
S 0.0043 0.7540 0.0086
Pr 0.8326 0.6647 0.6651
S 0.3374 0.4072 0.6747
S 0.6626 0.5928 0.3253
Tb 0.1691 0.8335 0.3382
Pr 0.1674 0.3353 0.3349
S 0.3351 0.9283 0.6702
Tb 0.8309 0.1665 0.6618
S 0.9957 0.2460 0.9914
Dy 0.5000 0.0000 0.0000
S 0.6649 0.0717 0.3298
Tb 0.5000 0.5000 0.0000

=====

## Si2SbPb (PBE)

Data for a relaxed Si2SbPb crystal.

## Properties
Total moment   0.00 Bohr magnetons per cell
Energy relative to the lowest polymorph listed for this composition   0.026 eV per atom
ΔE_f (raw)   0.290 eV/atom
SG   Pm, No. 6

Lattice parameters (Å, degrees): 3.7135 4.4795 6.1796 77.89 90.00 90.00
Sites, in units of the cell vectors:
Sb 0.5000 0.7864 0.8006
Si 0.5000 0.2921 0.1228
Si 0.0000 0.9640 0.1068
Pb 0.0000 0.4575 0.4697

=====

## Pr3Dy6Y2Ho (PBE)

Data for a relaxed Pr3Dy6Y2Ho crystal.

## Properties
Total moment   0.00 Bohr magnetons per cell
E_form   20 meV per atom
SG   C2/m, No. 12

Lattice parameters (Å, degrees): 6.2242 6.2242 11.8747 95.00 95.00 119.99
Sites, in units of the cell vectors:
Dy 0.2502 0.2502 0.7540
Dy 0.5852 0.9177 0.7541
Pr 0.5000 0.5000 0.5000
Dy 0.7498 0.7498 0.2460
Ho 0.0000 0.0000 0.0000
Y 0.3334 0.6666 0.0000
Y 0.6666 0.3334 0.0000
Pr 0.8333 0.1667 0.5000
Dy 0.0823 0.4148 0.2459
Pr 0.1667 0.8333 0.5000
Dy 0.9177 0.5852 0.7541
Dy 0.4148 0.0823 0.2459

=====

## La2GeB (PBE)

Data for a relaxed La2GeB crystal.

## Properties
Total moment   0.00 Bohr magnetons per cell
E_form   54 meV per atom
Energy relative to the lowest polymorph listed for this composition   0.084 eV per atom
SG   I-42d, No. 122

Lattice parameters (Å, degrees): 7.5878 7.5878 6.5071 54.34 54.34 90.00
Sites, in units of the cell vectors:
Ge 0.7500 0.2500 0.5000
B 0.2500 0.7500 0.5000
La 0.5773 0.1250 0.2500
Ge 0.0000 0.0000 0.0000
B 0.5000 0.5000 0.0000
La 0.1727 0.6250 0.2500
La 0.8750 0.8273 0.7500
La 0.3750 0.4227 0.7500

=====

## PrSmAlGa (PBE)

Data for a relaxed PrSmAlGa crystal.

## Properties
Total moment   0.00 Bohr magnetons per cell
E_form   -474 meV per atom
Energy relative to the lowest polymorph listed for this composition   0.000 eV per atom
SG   Amm2, No. 38

Lattice parameters (Å, degrees): 4.4986 4.2079 6.1218 90.00 111.56 90.00
Sites, in units of the cell vectors:
Sm 0.8577 0.5000 0.7153
Pr 0.1414 0.0000 0.2829
Ga 0.5696 0.5000 0.1393
Al 0.4312 0.0000 0.8625

=====

## PuPa2Rh (PBE)

Data for a relaxed PuPa2Rh crystal.

## Properties
Total moment   5.12 Bohr magnetons per cell
E_form   51 meV per atom
Energy relative to the lowest polymorph listed for this composition   0.384 eV per atom
SG   R-3m, No. 166

Lattice parameters (Å, degrees): 3.1476 3.1476 10.4862 81.37 81.37 60.00
Sites, in units of the cell vectors:
Pa 0.0925 0.0925 0.7225
Rh 0.5000 0.5000 0.5000
Pu 0.0000 0.0000 0.0000
Pa 0.9075 0.9075 0.2775